[1]
This record from Alexandria describes a relaxed structure of SrRu2Au. The functional is PBE-GGA.

```
SrRu2Au
1.0
2.946 0.000 0.000
0.000 2.946 0.000
0.000 0.000 8.759
Sr Ru Au
1 2 1
direct
0.000 0.000 0.000
0.500 0.500 0.282
0.500 0.500 0.718
0.000 0.000 0.500
```

Calculated values
raw total energy = -20.45 eV/f.u.
total magnetization = 2.3 μB per formula unit
polymorph energy (0 for the lowest one) = 674 meV/atom
crystal system = tetragonal
SG = P4/mmm (123)


[2]
This record from Alexandria describes a relaxed structure of Mn3CoRh. The functional is PBE-GGA.

```
Mn3CoRh
1.0
4.106 0.000 0.000
0.000 4.106 0.000
0.000 0.000 4.106
Mn Co Rh
3 1 1
direct
0.000 0.000 0.500
0.000 0.500 0.000
0.500 0.000 0.000
0.000 0.000 0.000
0.500 0.500 0.500
```

Calculated values
raw total energy = -35.49 eV/f.u.
total magnetization = 0.0 μB per formula unit
polymorph energy (0 for the lowest one) = 0 meV/atom
crystal system = cubic
SG = Pm-3m (221)


[3]
This record from Alexandria describes a relaxed structure of Nd3SmEr2Te6. The functional is PBE-GGA.

```
Nd3SmEr2Te6
1.0
9.703 -2.192 0.000
9.703 2.192 0.000
-2.224 0.000 8.676
Nd Sm Er Te
3 1 2 6
direct
0.000 0.000 0.000
0.338 0.338 0.668
0.662 0.662 0.332
0.000 0.000 0.500
0.335 0.335 0.170
0.665 0.665 0.830
0.168 0.168 0.593
0.171 0.171 0.074
0.495 0.495 0.250
0.505 0.505 0.750
0.829 0.829 0.926
0.832 0.832 0.407
```

Calculated values
raw total energy = -63.21 eV/f.u.
total magnetization = 0.0 μB per formula unit
crystal system = monoclinic
SG = C2/m (12)


[4]
This record from Alexandria describes a relaxed structure of Pm6BiIr2. The functional is PBE-GGA.

```
Pm6BiIr2
1.0
-4.794 5.015 5.451
4.794 -5.015 5.451
4.794 5.015 -5.451
Pm Bi Ir
12 2 4
direct
0.024 0.231 0.793
0.180 0.296 0.476
0.180 0.704 0.884
0.332 0.020 0.688
0.332 0.644 0.312
0.438 0.231 0.207
0.562 0.769 0.793
0.668 0.356 0.688
0.668 0.980 0.312
0.820 0.296 0.116
0.820 0.704 0.524
0.976 0.769 0.207
0.000 0.000 0.000
0.500 0.500 0.000
0.133 0.633 0.500
0.339 0.000 0.339
0.661 0.000 0.661
0.867 0.367 0.500
```

Calculated values
raw total energy = -55.14 eV/f.u.
total magnetization = 0.0 μB per formula unit
crystal system = orthorhombic
SG = Immm (71)


[5]
This record from Alexandria describes a relaxed structure of AlCrTe2N. The functional is PBE-GGA.

```
AlCrTe2N
1.0
5.509 0.000 0.000
0.000 5.509 0.000
0.000 0.000 3.449
Al Cr Te N
1 1 2 1
direct
0.000 0.000 0.000
0.500 0.500 0.500
0.000 0.500 0.000
0.500 0.000 0.000
0.000 0.000 0.500
```

Calculated values
raw total energy = -24.01 eV/f.u.
total magnetization = 0.5 μB per formula unit
polymorph energy (0 for the lowest one) = 630 meV/atom
crystal system = tetragonal
SG = P4/mmm (123)


[6]
This record from Alexandria describes a relaxed structure of NdZn4Pd2. The functional is PBE-GGA.

```
NdZn4Pd2
1.0
7.398 0.000 0.000
0.000 7.398 0.000
0.000 0.000 5.706
Nd Zn Pd
2 8 4
direct
0.000 0.000 0.000
0.500 0.500 0.500
0.000 0.234 0.500
0.000 0.766 0.500
0.234 0.000 0.500
0.266 0.500 0.000
0.500 0.266 0.000
0.500 0.734 0.000
0.734 0.500 0.000
0.766 0.000 0.500
0.000 0.500 0.250
0.000 0.500 0.750
0.500 0.000 0.250
0.500 0.000 0.750
```

Calculated values
raw total energy = -20.62 eV/f.u.
total magnetization = 0.0 μB per formula unit
polymorph energy (0 for the lowest one) = 480 meV/atom
crystal system = tetragonal
SG = I4/mmm (139)


[7]
This record from Alexandria describes a relaxed structure of Sc4Cd3Pb. The functional is PBE-GGA.

```
Sc4Cd3Pb
1.0
2.513 1.451 8.258
-2.513 1.451 8.258
0.000 -2.902 8.258
Sc Cd Pb
4 3 1
direct
0.124 0.124 0.124
0.375 0.375 0.375
0.625 0.625 0.625
0.876 0.876 0.876
0.000 0.000 0.000
0.255 0.255 0.255
0.745 0.745 0.745
0.500 0.500 0.500
```

Calculated values
raw total energy = -34.28 eV/f.u.
total magnetization = 0.6 μB per formula unit
crystal system = trigonal
SG = R-3m (166)


[8]
This record from Alexandria describes a relaxed structure of Tb8Sm2Sc3. The functional is PBE-GGA.

```
Tb8Sm2Sc3
1.0
6.598 -5.626 0.000
6.598 5.626 0.000
-2.400 0.000 5.425
Tb Sm Sc
8 2 3
direct
0.085 0.085 0.273
0.112 0.579 0.853
0.364 0.364 0.387
0.421 0.888 0.147
0.579 0.112 0.853
0.636 0.636 0.613
0.888 0.421 0.147
0.915 0.915 0.727
0.181 0.181 0.839
0.819 0.819 0.161
0.236 0.764 0.500
0.500 0.500 0.000
0.764 0.236 0.500
```

Calculated values
raw total energy = -63.05 eV/f.u.
total magnetization = 0.0 μB per formula unit
polymorph energy (0 for the lowest one) = 0 meV/atom
crystal system = monoclinic
SG = C2/m (12)


[9]
This record from Alexandria describes a relaxed structure of Al3Pd5Rh12. The functional is PBE-GGA.

```
Al3Pd5Rh12
1.0
-7.236 7.236 7.236
7.236 -7.236 7.236
7.236 7.236 -7.236
Al Pd Rh
12 20 48
direct
0.125 0.250 0.375
0.125 0.375 0.750
0.250 0.375 0.125
0.250 0.875 0.625
0.375 0.125 0.250
0.375 0.750 0.125
0.625 0.250 0.875
0.625 0.875 0.750
0.750 0.125 0.375
0.750 0.625 0.875
0.875 0.625 0.250
0.875 0.750 0.625
0.000 0.000 0.000
0.000 0.000 0.500
0.000 0.500 0.000
0.000 0.500 0.500
0.125 0.750 0.875
0.125 0.875 0.250
0.250 0.125 0.875
0.250 0.625 0.375
0.375 0.250 0.625
0.375 0.625 0.750
0.500 0.000 0.000
0.500 0.000 0.500
0.500 0.500 0.000
0.500 0.500 0.500
0.625 0.375 0.250
0.625 0.750 0.375
0.750 0.375 0.625
0.750 0.875 0.125
0.875 0.125 0.750
0.875 0.250 0.125
0.066 0.641 0.407
0.066 0.925 0.660
0.075 0.234 0.141
0.075 0.340 0.934
0.093 0.734 0.660
0.093 0.859 0.434
0.141 0.075 0.234
0.141 0.566 0.907
0.160 0.234 0.593
0.160 0.425 0.566
0.234 0.141 0.075
0.234 0.593 0.160
0.266 0.340 0.907
0.266 0.425 0.359
0.340 0.907 0.266
0.340 0.934 0.075
0.359 0.266 0.425
0.359 0.593 0.934
0.407 0.066 0.641
0.407 0.840 0.766
0.425 0.359 0.266
0.425 0.566 0.160
0.434 0.093 0.859
0.434 0.840 0.575
0.566 0.160 0.425
0.566 0.907 0.141
0.575 0.434 0.840
0.575 0.641 0.734
0.593 0.160 0.234
0.593 0.934 0.359
0.641 0.407 0.066
0.641 0.734 0.575
0.660 0.066 0.925
0.660 0.093 0.734
0.734 0.575 0.641
0.734 0.660 0.093
0.766 0.407 0.840
0.766 0.859 0.925
0.840 0.575 0.434
0.840 0.766 0.407
0.859 0.434 0.093
0.859 0.925 0.766
0.907 0.141 0.566
0.907 0.266 0.340
0.925 0.660 0.066
0.925 0.766 0.859
0.934 0.075 0.340
0.934 0.359 0.593
```

Calculated values
raw total energy = -114.79 eV/f.u.
total magnetization = 5.5 μB per formula unit
crystal system = cubic
SG = Ia-3d (230)


[10]
This record from Alexandria describes a relaxed structure of AlCoCl. The functional is PBE-GGA.

```
AlCoCl
1.0
3.123 0.000 0.000
0.000 5.195 0.000
0.000 0.000 11.511
Al Co Cl
4 4 4
direct
0.000 0.000 0.000
0.000 0.500 0.500
0.500 0.000 0.500
0.500 0.500 0.000
0.000 0.000 0.356
0.000 0.500 0.856
0.500 0.000 0.856
0.500 0.500 0.356
0.000 0.000 0.669
0.000 0.500 0.169
0.500 0.000 0.169
0.500 0.500 0.669
```

Calculated values
raw total energy = -12.46 eV/f.u.
total magnetization = 0.6 μB per formula unit
polymorph energy (0 for the lowest one) = 175 meV/atom
crystal system = orthorhombic
SG = Fmm2 (42)


[11]
This record from Alexandria describes a relaxed structure of EuLuCdIr. The functional is PBE-GGA.

```
EuLuCdIr
1.0
7.151 0.000 0.000
0.000 7.151 0.000
0.000 0.000 7.151
Eu Lu Cd Ir
4 4 4 4
direct
0.000 0.000 0.000
0.000 0.500 0.500
0.500 0.000 0.500
0.500 0.500 0.000
0.000 0.000 0.500
0.000 0.500 0.000
0.500 0.000 0.000
0.500 0.500 0.500
0.250 0.250 0.250
0.250 0.750 0.750
0.750 0.250 0.750
0.750 0.750 0.250
0.250 0.250 0.750
0.250 0.750 0.250
0.750 0.250 0.250
0.750 0.750 0.750
```

Calculated values
raw total energy = -26.09 eV/f.u.
total magnetization = 6.9 μB per formula unit
crystal system = cubic
SG = F-43m (216)


[12]
This record from Alexandria describes a relaxed structure of K2DyRe3O12. The functional is PBE-GGA.

```
K2DyRe3O12
1.0
3.701 2.137 6.204
-3.701 2.137 6.204
0.000 -4.273 6.204
K Dy Re O
2 1 3 12
direct
0.129 0.129 0.129
0.871 0.871 0.871
0.500 0.500 0.500
0.000 0.500 0.500
0.500 0.000 0.500
0.500 0.500 0.000
0.141 0.577 0.577
0.198 0.198 0.571
0.198 0.571 0.198
0.423 0.423 0.859
0.423 0.859 0.423
0.429 0.802 0.802
0.571 0.198 0.198
0.577 0.141 0.577
0.577 0.577 0.141
0.802 0.429 0.802
0.802 0.802 0.429
0.859 0.423 0.423
```

Calculated values
raw total energy = -138.05 eV/f.u.
total magnetization = 0.8 μB per formula unit
crystal system = trigonal
SG = R-3m (166)


[13]
This record from Alexandria describes a relaxed structure of RbBr2N. The functional is PBE-GGA.

```
RbBr2N
1.0
5.540 0.000 0.000
-2.770 4.797 0.000
0.000 0.000 22.246
Rb Br N
3 6 3
direct
0.000 0.000 0.000
0.333 0.667 0.667
0.667 0.333 0.333
0.000 0.000 0.400
0.000 0.000 0.600
0.333 0.667 0.067
0.333 0.667 0.266
0.667 0.333 0.734
0.667 0.333 0.933
0.000 0.000 0.500
0.333 0.667 0.167
0.667 0.333 0.833
```

Calculated values
raw total energy = -11.71 eV/f.u.
total magnetization = 2.0 μB per formula unit
polymorph energy (0 for the lowest one) = 232 meV/atom
crystal system = trigonal
SG = R-3m (166)


[14]
This record from Alexandria describes a relaxed structure of PmSnN2. The functional is PBE-GGA.

```
PmSnN2
1.0
3.577 0.000 0.000
-1.788 3.098 0.000
0.000 0.000 17.150
Pm Sn N
3 3 6
direct
0.000 0.000 0.000
0.333 0.667 0.667
0.667 0.333 0.333
0.000 0.000 0.500
0.333 0.667 0.167
0.667 0.333 0.833
0.000 0.000 0.252
0.000 0.000 0.748
0.333 0.667 0.415
0.333 0.667 0.918
0.667 0.333 0.082
0.667 0.333 0.585
```

Calculated values
raw total energy = -26.70 eV/f.u.
total magnetization = 0.0 μB per formula unit
polymorph energy (0 for the lowest one) = 0 meV/atom
crystal system = trigonal
SG = R-3m (166)


[15]
This record from Alexandria describes a relaxed structure of AgSbTe3. The functional is PBE-GGA.

```
AgSbTe3
1.0
5.384 0.000 0.000
0.000 5.384 0.000
0.000 0.000 5.384
Ag Sb Te
1 1 3
direct
0.000 0.000 0.000
0.500 0.500 0.500
0.000 0.000 0.500
0.000 0.500 0.000
0.500 0.000 0.000
```

Calculated values
raw total energy = -13.70 eV/f.u.
total magnetization = 0.0 μB per formula unit
polymorph energy (0 for the lowest one) = 513 meV/atom
crystal system = cubic
SG = Pm-3m (221)


[16]
This record from Alexandria describes a relaxed structure of TmThSb. The functional is PBE-GGA.

```
TmThSb
1.0
3.966 0.000 0.000
0.000 3.966 0.000
0.000 0.000 11.136
Tm Th Sb
2 2 2
direct
0.000 0.000 0.000
0.500 0.500 0.500
0.000 0.000 0.696
0.500 0.500 0.196
0.000 0.000 0.363
0.500 0.500 0.863
```

Calculated values
raw total energy = -17.57 eV/f.u.
total magnetization = 0.0 μB per formula unit
crystal system = tetragonal
SG = I4mm (107)


[17]
This record from Alexandria describes a relaxed structure of Er7Zn4In. The functional is PBE-GGA.

```
Er7Zn4In
1.0
6.935 -2.810 0.000
6.935 2.810 0.000
-4.508 0.000 7.721
Er Zn In
7 4 1
direct
0.000 0.000 0.000
0.227 0.227 0.687
0.312 0.312 0.124
0.423 0.423 0.590
0.577 0.577 0.410
0.688 0.688 0.876
0.773 0.773 0.313
0.020 0.020 0.676
0.186 0.186 0.338
0.814 0.814 0.662
0.980 0.980 0.324
0.500 0.500 0.000
```

Calculated values
raw total energy = -41.07 eV/f.u.
total magnetization = 0.0 μB per formula unit
crystal system = monoclinic
SG = C2/m (12)


[18]
This record from Alexandria describes a relaxed structure of BeCrIr2. The functional is PBE-GGA.

```
BeCrIr2
1.0
2.695 0.000 0.000
0.000 3.713 0.000
-1.124 0.000 5.047
Be Cr Ir
1 1 2
direct
0.000 0.000 0.000
0.000 0.000 0.500
0.378 0.500 0.236
0.622 0.500 0.764
```

Calculated values
raw total energy = -31.83 eV/f.u.
total magnetization = 1.3 μB per formula unit
crystal system = monoclinic
SG = P2/m (10)


[19]
This record from Alexandria describes a relaxed structure of LaAgSbI2. The functional is PBE-GGA.

```
LaAgSbI2
1.0
6.188 0.000 0.000
0.000 6.188 0.000
0.000 0.000 6.497
La Ag Sb I
1 1 1 2
direct
0.000 0.000 0.000
0.500 0.500 0.500
0.000 0.000 0.500
0.000 0.500 0.000
0.500 0.000 0.000
```

Calculated values
raw total energy = -15.84 eV/f.u.
total magnetization = 1.0 μB per formula unit
polymorph energy (0 for the lowest one) = 45 meV/atom
crystal system = tetragonal
SG = P4/mmm (123)


[20]
This record from Alexandria describes a relaxed structure of SrZn2Ni. The functional is PBE-GGA.

```
SrZn2Ni
1.0
4.251 0.000 0.000
-2.126 3.682 0.000
0.000 0.000 16.368
Sr Zn Ni
3 6 3
direct
0.000 0.000 0.000
0.333 0.667 0.667
0.667 0.333 0.333
0.000 0.000 0.195
0.000 0.000 0.805
0.333 0.667 0.471
0.333 0.667 0.862
0.667 0.333 0.138
0.667 0.333 0.529
0.000 0.000 0.500
0.333 0.667 0.167
0.667 0.333 0.833
```

Calculated values
raw total energy = -10.91 eV/f.u.
total magnetization = 0.0 μB per formula unit
crystal system = trigonal
SG = R-3m (166)